# 1
Tl3Ru | PBE-GGA | relaxed

a b c (Å): 7.6704 8.7259 5.5819
angles (deg): 90.00 90.00 90.00
Last column: nearest neighbours and their distance in Å.
Space group Pnma (No. 62)
Unique sites:
Tl (0.0218, 0.2500, 0.1078) (multiplicity 4)  3 Ru 2.88-3.13
Tl (0.1726, 0.0517, 0.6262) (multiplicity 8)  3 Ru 2.80-2.91, 1 Tl 3.13
Ru (0.1304, 0.7500, 0.4120) (multiplicity 4)  9 Tl 2.80-3.13

Output
**Energy of formation**: 31 kJ per mole of atoms
**Density of states at the Fermi level**: 5.104 states/eV/cell
**Total DFT energy (no corrections)**: -0.139 Ha/atom
**E above lowest polymorph**: 75 meV per atom

=====

# 2
Tl5Ru4 | PBE-GGA | relaxed

a b c (Å): 9.1715 9.1715 4.4342
angles (deg): 90.00 90.00 90.00
Last column: nearest neighbours and their distance in Å.
Space group I4/mmm (No. 139)
Unique sites:
Tl (0.0000, 0.0000, 0.0000) (multiplicity 2)  8 Tl 3.17, 4 Ru 3.37
Tl (0.1750, 0.1750, 0.5000) (multiplicity 8)  6 Tl 2.95-3.21, 6 Ru 3.01-3.25
Ru (0.0000, 0.3670, 0.0000) (multiplicity 8)  1 Ru 2.44

Output
**Energy of formation**: 65 kJ per mole of atoms
**Density of states at the Fermi level**: 15.563 states/eV/cell
**Total DFT energy (no corrections)**: -0.175 Ha/atom

=====

# 3
TlRu | PBE-GGA | relaxed

a b c (Å): 10.5295 3.0555 4.8901
angles (deg): 90.00 110.02 90.00
Last column: nearest neighbours and their distance in Å.
Space group C2/m (No. 12)
Unique sites:
Tl (0.1079, 0.0000, 0.3054) (multiplicity 4)  7 Ru 2.84-2.98, 3 Tl 3.06-3.07
Ru (0.1496, 0.5000, 0.8247) (multiplicity 4)  2 Ru 2.70, 7 Tl 2.84-2.98

Output
**Energy of formation**: 57 kJ per mole of atoms
**Density of states at the Fermi level**: 7.298 states/eV/cell
**Total DFT energy (no corrections)**: -0.192 Ha/atom

=====

# 4
Tl4Ru3 | PBE-GGA | relaxed

a b c (Å): 3.0953 3.0953 30.9132
angles (deg): 90.00 90.00 90.00
Last column: nearest neighbours and their distance in Å.
Space group I4/mmm (No. 139)
Unique sites:
Tl (0.0000, 0.0000, 0.0616) (multiplicity 4)  4 Ru 2.90, 4 Tl 3.10
Tl (0.0000, 0.0000, 0.3428) (multiplicity 4)  4 Tl 3.10, 4 Ru 3.10
Ru (0.0000, 0.0000, 0.2280) (multiplicity 4)  4 Ru 2.58
Ru (0.0000, 0.0000, 0.5000) (multiplicity 2)  8 Tl 2.90, 4 Ru 3.10

Output
**Energy of formation**: 49 kJ per mole of atoms
**Density of states at the Fermi level**: 16.121 states/eV/cell
**Total DFT energy (no corrections)**: -0.177 Ha/atom

=====

# 5
TlRu | PBE-GGA | relaxed

a b c (Å): 2.9977 2.9977 8.8938
angles (deg): 90.00 90.00 90.00
Last column: nearest neighbours and their distance in Å.
Space group P4/nmm (No. 129, origin choice 2)
Unique sites:
Tl (0.2500, 0.2500, 0.1706) (multiplicity 2)  4 Tl 3.00, 4 Ru 3.04
Ru (0.2500, 0.2500, 0.5841) (multiplicity 2)  4 Ru 2.59

Output
**Energy of formation**: 42 kJ per mole of atoms
**Density of states at the Fermi level**: 3.484 states/eV/cell
**Total DFT energy (no corrections)**: -0.198 Ha/atom

=====

# 6
Tl2Ru | PBE-GGA | relaxed

a b c (Å): 7.0677 7.0787 3.1441
angles (deg): 90.00 90.00 90.00
Last column: nearest neighbours and their distance in Å.
Space group Pnnm (No. 58)
Unique sites:
Tl (0.2293, 0.2291, 0.0000) (multiplicity 4)  3 Ru 2.71-2.78
Ru (0.0000, 0.0000, 0.5000) (multiplicity 2)  6 Tl 2.71-2.78

Output
**Energy of formation**: 46 kJ per mole of atoms
**Density of states at the Fermi level**: 4.221 states/eV/cell
**Total DFT energy (no corrections)**: -0.154 Ha/atom

=====

# 7
TlRu | PBE-GGA | relaxed

a b c (Å): 6.1502 6.1502 6.1502
angles (deg): 90.00 90.00 90.00
Last column: nearest neighbours and their distance in Å.
Space group F-43m (No. 216)
Unique sites:
Tl (0.0000, 0.0000, 0.0000) (multiplicity 4)  4 Ru 2.66
Ru (0.2500, 0.2500, 0.7500) (multiplicity 4)  4 Tl 2.66

Output
**Energy of formation**: 163 kJ per mole of atoms
**Density of states at the Fermi level**: 22.821 states/eV/cell
**Total DFT energy (no corrections)**: -0.152 Ha/atom

=====

# 8
TlRu | PBE-GGA | relaxed

a b c (Å): 7.5539 7.5539 7.5539
angles (deg): 90.00 90.00 90.00
Last column: nearest neighbours and their distance in Å.
Space group Pm-3n (No. 223)
Unique sites:
Tl (0.0000, 0.2500, 0.5000) (multiplicity 6)  4 Ru 2.67
Ru (0.0000, 0.5000, 0.2500) (multiplicity 6)  4 Tl 2.67

Output
**Energy of formation**: 164 kJ per mole of atoms
**Density of states at the Fermi level**: 27.731 states/eV/cell
**Total DFT energy (no corrections)**: -0.151 Ha/atom